No. 1
! PBE Tb8Er2Pb, optimized geometry; values from VASP
&SYSTEM
  ibrav = 0, nat = 11, ntyp = 3
/
ATOMIC_SPECIES
Tb 158.93 Tb.upf
Er 167.26 Er.upf
Pb 207.20 Pb.upf
CELL_PARAMETERS angstrom
-4.372 -1.579 2.649
-2.442 -4.327 -6.609
7.129 -3.540 4.255
ATOMIC_POSITIONS angstrom
Tb 1.092 -2.299 0.432
Tb 3.018 -3.233 3.056
Tb -2.703 -6.214 -2.761
Tb -1.580 -3.329 -4.591
Tb -2.194 -3.613 -0.372
Tb 2.510 -5.833 0.666
Tb -0.776 -7.147 -0.138
Tb 1.895 -6.117 4.886
Er -0.058 -4.926 2.371
Er 0.374 -4.520 -2.077
Pb -2.186 -0.789 1.324
! Formation energy from the elements in eV/atom: -0.019
! N(E_F) in states/eV per cell: 16.3
! Calculated total energy in Ry per atom: -0.3346
! Theoretical density in g/cm3: 8.72

=====

No. 2
! PBE Tb4ErPb2, optimized geometry; values from VASP
&SYSTEM
  ibrav = 0, nat = 7, ntyp = 3
/
ATOMIC_SPECIES
Tb 158.93 Tb.upf
Er 167.26 Er.upf
Pb 207.20 Pb.upf
CELL_PARAMETERS angstrom
5.378 0.000 0.000
0.000 5.378 0.000
-2.689 -2.689 8.323
ATOMIC_POSITIONS angstrom
Tb 0.000 0.000 3.046
Tb 0.000 2.689 0.000
Tb 2.689 0.000 0.000
Tb 2.689 2.689 5.276
Er 0.000 0.000 0.000
Pb 2.689 2.689 2.178
Pb 0.000 0.000 6.144
! Formation energy from the elements in eV/atom: 0.420
! N(E_F) in states/eV per cell: 8.2
! Calculated total energy in Ry per atom: -0.2894
! Theoretical density in g/cm3: 8.40

=====

No. 3
! PBE Tb5Er3Pb2, optimized geometry; values from VASP
&SYSTEM
  ibrav = 0, nat = 20, ntyp = 3
/
ATOMIC_SPECIES
Tb 158.93 Tb.upf
Er 167.26 Er.upf
Pb 207.20 Pb.upf
CELL_PARAMETERS angstrom
-1.277 -6.205 0.386
5.674 -3.904 8.182
-9.556 -0.987 4.701
ATOMIC_POSITIONS angstrom
Tb -0.297 -5.905 8.447
Tb -6.014 -8.034 7.480
Tb 0.855 -3.061 5.789
Tb -2.251 -7.426 3.624
Tb -3.546 -6.772 9.838
Tb -2.907 -3.670 9.645
Tb -1.612 -4.323 3.431
Tb -2.260 -3.997 6.538
Tb -4.862 -5.191 4.822
Tb -2.898 -7.099 6.731
Er -7.414 -4.525 7.084
Er -0.958 -4.654 0.290
Er -6.157 -1.734 3.923
Er 0.998 -9.361 9.346
Er 2.255 -6.571 6.185
Er -0.319 -1.551 0.097
Pb 3.795 -3.658 5.921
Pb 2.428 -6.393 9.610
Pb -7.586 -4.703 3.659
Pb -8.953 -7.437 7.348
! Formation energy from the elements in eV/atom: 0.090
! N(E_F) in states/eV per cell: 23.7
! Calculated total energy in Ry per atom: -0.3187
! Theoretical density in g/cm3: 8.78

=====

No. 4
! PBE TbEr2Pb9, optimized geometry; values from VASP
&SYSTEM
  ibrav = 0, nat = 12, ntyp = 3
/
ATOMIC_SPECIES
Pb 207.20 Pb.upf
Er 167.26 Er.upf
Tb 158.93 Tb.upf
CELL_PARAMETERS angstrom
-3.167 0.610 3.652
-2.738 -3.622 -1.769
7.480 -9.607 8.093
ATOMIC_POSITIONS angstrom
Pb 2.029 -7.904 6.331
Pb -2.953 -1.506 0.941
Pb -0.328 -1.307 3.184
Pb -0.113 -3.423 0.474
Pb 2.156 -4.498 5.873
Pb 4.856 -9.806 5.850
Pb -0.454 -4.715 3.645
Pb 2.371 -6.615 3.162
Pb 4.641 -7.690 8.561
Er 4.989 -6.408 5.398
Er 2.491 -3.199 2.695
Tb 0.000 0.000 0.000
! Formation energy from the elements in eV/atom: -0.257
! N(E_F) in states/eV per cell: 7.0
! Calculated total energy in Ry per atom: -0.3076
! Theoretical density in g/cm3: 11.28